The following is a PBE calculation of a geometry-optimized Sc8Fe2Pd structure, from the Alexandria database.

```
Sc8Fe2Pd
1.0
5.044 0.099 -0.816
-1.622 6.320 -2.522
0.040 0.042 6.995
Sc Fe Pd
8 2 1
Direct
0.592 0.334 0.069
0.592 0.069 0.334
0.192 0.377 0.377
0.000 0.234 0.772
0.000 0.772 0.234
0.808 0.629 0.629
0.408 0.937 0.672
0.408 0.672 0.937
0.500 0.689 0.317
0.500 0.317 0.689
0.001 0.003 0.003
```

- Total moment: 0.00 Bohr magnetons per cell
- Mass density: 4.3 g/cm³
- Volume: 224.9 Å³/f.u.
- DFT formation energy: -0.179 eV/atom
- DFT total energy: -6.79 eV per atom